# Nb2Zn3Ga3

Nb2Zn3Ga3 after structural relaxation (PBE, the Alexandria database).

Structure (POSCAR):
```
Nb2Zn3Ga3
1.0
3.8955 0.0000 0.0000
0.0000 3.9604 0.0000
0.0000 0.0000 8.0723
Nb Zn Ga
2 3 3
direct
0.0000 0.0000 0.2444
0.0000 0.0000 0.7556
0.0000 0.5000 0.0000
0.0000 0.5000 0.5000
0.5000 0.0000 0.5000
0.5000 0.0000 0.0000
0.5000 0.5000 0.2598
0.5000 0.5000 0.7402
```

Total energy: -35.0 eV/cell
Size of the total moment: 0.00 μB/cell
Calculated volume: 125 Å³/cell
Space-group type: Pmmm
Formation energy: -0.245 eV/atom